Entry 1:
# Ac4Pr4Er3

A relaxed Ac4Pr4Er3 crystal (GGA-PBE, Alexandria).

Cell: 3.722 5.853 19.269 Å, 98.72 90.05 90.01°
Fractional positions:
Er: 0.228 0.634 0.268
Pr: 0.226 0.544 0.088
Er: 0.224 0.001 0.001
Pr: 0.229 0.178 0.358
Ac: 0.727 0.090 0.179
Pr: 0.725 0.462 0.923
Er: 0.728 0.366 0.732
Pr: 0.728 0.820 0.641
Ac: 0.228 0.279 0.557
Ac: 0.228 0.907 0.814
Ac: 0.729 0.720 0.441

Output
As for the space group: P1 (1). For the formation enthalpy at 0 K, the calculation gives 0.01 eV per atom. The calculation puts the density of states at the Fermi level at 1.48 states/eV per atom. The total magnetization is 0.00 μB/cell.

---

Entry 2:
# PrSm2GeN4

A relaxed PrSm2GeN4 crystal (GGA-PBE, Alexandria).

Cell: 3.614 6.117 11.917 Å, 90.00 90.00 107.18°
Fractional positions:
Ge: 0.835 0.670 0.750
N: 0.000 0.000 0.500
Sm: 0.369 0.739 0.544
N: 0.271 0.543 0.130
N: 0.729 0.457 0.870
Sm: 0.369 0.739 0.956
N: 0.420 0.840 0.750
Sm: 0.631 0.261 0.044
N: 0.729 0.457 0.630
Ge: 0.165 0.330 0.250
N: 0.580 0.160 0.250
N: 0.000 0.000 0.000
N: 0.271 0.543 0.370
Pr: 0.900 0.800 0.250
Pr: 0.100 0.200 0.750
Sm: 0.631 0.261 0.456

Output
As for the space group: Cmcm (63). The value obtained for the total energy is -7.48 eV/atom. The calculation puts the density of states at the Fermi level at 0.12 states/eV per atom. The total magnetization is 0.00 μB/cell.

---

Entry 3:
# CsPO2F

A relaxed CsPO2F crystal (GGA-PBE, Alexandria).

Cell: 4.486 4.486 5.292 Å, 90.00 90.00 90.00°
Fractional positions:
Cs: 0.000 0.000 0.000
O: 0.500 0.000 0.000
O: 0.000 0.500 0.000
F: 0.000 0.000 0.500
P: 0.500 0.500 0.500

Output
As for the space group: P4/mmm (123). The value obtained for the total energy is -2.81 eV/atom. The calculation puts the density of states at the Fermi level at 1.14 states/eV per atom. The total magnetization is 0.97 μB/cell.